BiIr2PtAu: relaxed, GGA-PBE.

Properties
The formation energy comes out at 615 kJ/mol of formula units. Its space group is P4/mmm, No. 123. Its total DFT energy (no corrections) is -4.910 eV/atom.

a = 4.8278 Å, b = 5.0521 Å, c = 4.8278 Å
α = 90.00°, β = 90.00°, γ = 90.00°
Last column: nearest neighbours and their distance in Å.
Fractional coordinates of all 5 atoms:
Ir: 0.0000 0.0000 0.5000  2 Pt 2.41
Ir: 0.5000 0.0000 0.0000  2 Pt 2.41
Au: 0.0000 0.5000 0.0000  2 Pt 2.53
Bi: 0.5000 0.5000 0.5000  4 Au 3.41, 8 Ir 3.49
Pt: 0.0000 0.0000 0.0000  4 Ir 2.41, 2 Au 2.53

***

Bi2IrRhAu: relaxed, GGA-PBE.

Properties
The formation energy comes out at 498 kJ/mol of formula units. Its space group is P4/mmm, No. 123. Its total DFT energy (no corrections) is -4.418 eV/atom.

a = 5.0637 Å, b = 5.0445 Å, c = 5.0637 Å
α = 90.00°, β = 90.00°, γ = 90.00°
Last column: nearest neighbours and their distance in Å.
Fractional coordinates of all 5 atoms:
Rh: 0.0000 0.0000 0.0000  2 Au 2.52, 4 Bi 2.53
Ir: 0.5000 0.5000 0.5000  8 Bi 3.57, 4 Au 3.58
Au: 0.0000 0.5000 0.0000  2 Rh 2.52
Bi: 0.0000 0.0000 0.5000  2 Rh 2.53
Bi: 0.5000 0.0000 0.0000  2 Rh 2.53

***

Number 1 is which compound?
BiIr2PtAu

***

Look up the total DFT energy (no corrections) of the second one.
-4.418 eV/atom

***

What is the total DFT energy (no corrections) in the second record?
-4.418 eV/atom